Entry w
Compound: Cd3SnBi
Source: Alexandria via LeMat-Bulk
Functional: PBE-GGA
Structure: relaxed

Summary:
* symmetry: Pm-3m (221)

abc: 5.5188 5.5188 5.5188
angles: 90.00 90.00 90.00
Fractional positions:
Cd (0.0000, 0.0000, 0.5000)
Cd (0.0000, 0.5000, 0.0000)
Cd (0.5000, 0.0000, 0.0000)
Sn (0.0000, 0.0000, 0.0000)
Bi (0.5000, 0.5000, 0.5000)


Entry x
Compound: Cd3SnBi
Source: Alexandria via LeMat-Bulk
Functional: PBE-GGA
Structure: relaxed

Summary:
* symmetry: P2_1 (4)

abc: 5.5253 7.1925 7.5209
angles: 90.00 106.00 90.00
Fractional positions:
Cd (0.0716, 0.0000, 0.1163)
Cd (0.2318, 0.2444, 0.4894)
Cd (0.4047, 0.0304, 0.8521)
Cd (0.5953, 0.5304, 0.1479)
Cd (0.7682, 0.7444, 0.5106)
Cd (0.9284, 0.5000, 0.8837)
Sn (0.1538, 0.6220, 0.2847)
Sn (0.8462, 0.1220, 0.7153)
Bi (0.3624, 0.6201, 0.7260)
Bi (0.6376, 0.1201, 0.2740)


entry x (0.353 eV/atom below the next structure)


Entry w
Compound: CdSn2Bi2
Source: Alexandria via LeMat-Bulk
Functional: PBE-GGA
Structure: relaxed

Summary:
* symmetry: P4/mbm (127)

abc: 8.7449 8.7449 4.0249
angles: 90.00 90.00 90.00
Fractional positions:
Cd (0.0000, 0.0000, 0.0000)
Cd (0.5000, 0.5000, 0.0000)
Sn (0.1442, 0.3558, 0.0000)
Sn (0.3558, 0.8558, 0.0000)
Sn (0.6442, 0.1442, 0.0000)
Sn (0.8558, 0.6442, 0.0000)
Bi (0.1486, 0.6486, 0.5000)
Bi (0.3514, 0.1486, 0.5000)
Bi (0.6486, 0.8514, 0.5000)
Bi (0.8514, 0.3514, 0.5000)


Entry x
Compound: CdSn2Bi2
Source: Alexandria via LeMat-Bulk
Functional: PBE-GGA
Structure: relaxed

Summary:
* symmetry: I4/mmm (139)

abc: 7.9978 7.9978 7.9978
angles: 143.63 143.63 52.38
Fractional positions:
Cd (0.0000, 0.0000, 0.0000)
Sn (0.2500, 0.7500, 0.5000)
Sn (0.7500, 0.2500, 0.5000)
Bi (0.3821, 0.3821, 0.0000)
Bi (0.6179, 0.6179, 0.0000)


entry w (0.032 eV/atom below the next structure)


Entry w
Compound: SrCdBi3
Source: Alexandria via LeMat-Bulk
Functional: PBE-GGA
Structure: relaxed

Summary:
* symmetry: P1 (1)

abc: 6.4869 7.1036 9.9222
angles: 109.05 90.11 117.11
Fractional positions:
Sr (0.0000, 0.0000, 0.0000)
Sr (0.2755, 0.5525, 0.8074)
Cd (0.6044, 0.2079, 0.9195)
Cd (0.7639, 0.5230, 0.4017)
Bi (0.0483, 0.5821, 0.1563)
Bi (0.2316, 0.9784, 0.6470)
Bi (0.5230, 0.0450, 0.1669)
Bi (0.5343, 0.5816, 0.1564)
Bi (0.7430, 0.9779, 0.6458)
Bi (0.7449, 0.4920, 0.6848)


Entry x
Compound: SrCdBi3
Source: Alexandria via LeMat-Bulk
Functional: PBE-GGA
Structure: relaxed

Summary:
* symmetry: Pm-3m (221)

abc: 5.7335 5.7335 5.7335
angles: 90.00 90.00 90.00
Fractional positions:
Sr (0.0000, 0.0000, 0.0000)
Cd (0.5000, 0.5000, 0.5000)
Bi (0.0000, 0.5000, 0.5000)
Bi (0.5000, 0.0000, 0.5000)
Bi (0.5000, 0.5000, 0.0000)


Entry y
Compound: SrCdBi3
Source: Alexandria via LeMat-Bulk
Functional: PBE-GGA
Structure: relaxed

Summary:
* symmetry: Pbcm (57)

abc: 14.1438 6.6631 6.8471
angles: 90.00 90.00 90.00
Fractional positions:
Sr (0.1861, 0.0035, 0.2500)
Sr (0.1861, 0.4965, 0.7500)
Sr (0.8139, 0.5035, 0.2500)
Sr (0.8139, 0.9965, 0.7500)
Cd (0.3813, 0.2500, 0.0000)
Cd (0.3813, 0.2500, 0.5000)
Cd (0.6187, 0.7500, 0.0000)
Cd (0.6187, 0.7500, 0.5000)
Bi (0.0020, 0.2500, 0.0000)
Bi (0.0020, 0.2500, 0.5000)
Bi (0.2489, 0.5112, 0.2500)
Bi (0.2489, 0.9888, 0.7500)
Bi (0.4296, 0.6954, 0.7500)
Bi (0.4296, 0.8046, 0.2500)
Bi (0.5704, 0.1954, 0.7500)
Bi (0.5704, 0.3046, 0.2500)
Bi (0.7511, 0.0112, 0.2500)
Bi (0.7511, 0.4888, 0.7500)
Bi (0.9980, 0.7500, 0.0000)
Bi (0.9980, 0.7500, 0.5000)


entry y (0.041 eV/atom below the next structure)


Entry w
Compound: SrCd3Bi3
Source: Alexandria via LeMat-Bulk
Functional: PBE-GGA
Structure: relaxed

Summary:
* symmetry: Pm-3n (223)

abc: 8.2032 8.2032 8.2032
angles: 90.00 90.00 90.00
Fractional positions:
Sr (0.0000, 0.0000, 0.0000)
Sr (0.5000, 0.5000, 0.5000)
Cd (0.0000, 0.2500, 0.5000)
Cd (0.0000, 0.7500, 0.5000)
Cd (0.2500, 0.5000, 0.0000)
Cd (0.5000, 0.0000, 0.2500)
Cd (0.5000, 0.0000, 0.7500)
Cd (0.7500, 0.5000, 0.0000)
Bi (0.0000, 0.5000, 0.2500)
Bi (0.0000, 0.5000, 0.7500)
Bi (0.2500, 0.0000, 0.5000)
Bi (0.5000, 0.2500, 0.0000)
Bi (0.5000, 0.7500, 0.0000)
Bi (0.7500, 0.0000, 0.5000)


Entry x
Compound: SrCd3Bi3
Source: Alexandria via LeMat-Bulk
Functional: PBE-GGA
Structure: relaxed

Summary:
* symmetry: P6_3/m (176)

abc: 10.8986 10.8986 4.6674
angles: 90.00 90.00 120.00
Fractional positions:
Sr (0.3333, 0.6667, 0.2500)
Sr (0.6667, 0.3333, 0.7500)
Cd (0.0515, 0.5993, 0.7500)
Cd (0.4007, 0.4522, 0.7500)
Cd (0.4522, 0.0515, 0.2500)
Cd (0.5478, 0.9485, 0.7500)
Cd (0.5993, 0.5478, 0.2500)
Cd (0.9485, 0.4007, 0.2500)
Bi (0.0908, 0.3391, 0.7500)
Bi (0.2483, 0.9092, 0.7500)
Bi (0.3391, 0.2483, 0.2500)
Bi (0.6609, 0.7517, 0.7500)
Bi (0.7517, 0.0908, 0.2500)
Bi (0.9092, 0.6609, 0.2500)


Entry y
Compound: SrCd3Bi3
Source: Alexandria via LeMat-Bulk
Functional: PBE-GGA
Structure: relaxed

Summary:
* symmetry: R-3 (148)

abc: 9.1868 9.1868 9.1868
angles: 53.52 53.52 53.52
Fractional positions:
Sr (0.1674, 0.1674, 0.1674)
Sr (0.8326, 0.8326, 0.8326)
Cd (0.0017, 0.3798, 0.7388)
Cd (0.2612, 0.9983, 0.6202)
Cd (0.3798, 0.7388, 0.0017)
Cd (0.6202, 0.2612, 0.9983)
Cd (0.7388, 0.0017, 0.3798)
Cd (0.9983, 0.6202, 0.2612)
Bi (0.1279, 0.7224, 0.4213)
Bi (0.2776, 0.5787, 0.8721)
Bi (0.4213, 0.1279, 0.7224)
Bi (0.5787, 0.8721, 0.2776)
Bi (0.7224, 0.4213, 0.1279)
Bi (0.8721, 0.2776, 0.5787)


entry y (0.019 eV/atom below the next structure)


Entry w
Compound: Sr2Cd2Bi
Source: Alexandria via LeMat-Bulk
Functional: PBE-GGA
Structure: relaxed

Summary:
* symmetry: I4/mmm (139)

abc: 6.3755 6.3755 6.3755
angles: 119.42 119.42 91.01
Fractional positions:
Sr (0.2500, 0.7500, 0.5000)
Sr (0.7500, 0.2500, 0.5000)
Cd (0.1514, 0.1514, 0.0000)
Cd (0.8486, 0.8486, 0.0000)
Bi (0.5000, 0.5000, 0.0000)


Entry x
Compound: Sr2Cd2Bi
Source: Alexandria via LeMat-Bulk
Functional: PBE-GGA
Structure: relaxed

Summary:
* symmetry: P4/mbm (127)

abc: 8.3030 8.3030 4.8554
angles: 90.00 90.00 90.00
Fractional positions:
Sr (0.1788, 0.3212, 0.0000)
Sr (0.3212, 0.8212, 0.0000)
Sr (0.6788, 0.1788, 0.0000)
Sr (0.8212, 0.6788, 0.0000)
Cd (0.1225, 0.6225, 0.5000)
Cd (0.3775, 0.1225, 0.5000)
Cd (0.6225, 0.8775, 0.5000)
Cd (0.8775, 0.3775, 0.5000)
Bi (0.0000, 0.0000, 0.5000)
Bi (0.5000, 0.5000, 0.5000)


Entry y
Compound: Sr2Cd2Bi
Source: Alexandria via LeMat-Bulk
Functional: PBE-GGA
Structure: relaxed

Summary:
* symmetry: I4/mmm (139)

abc: 10.4549 10.4549 10.4549
angles: 157.03 157.03 32.72
Fractional positions:
Sr (0.0982, 0.0982, 0.0000)
Sr (0.9018, 0.9018, 0.0000)
Cd (0.2500, 0.7500, 0.5000)
Cd (0.7500, 0.2500, 0.5000)
Bi (0.5000, 0.5000, 0.0000)


entry x (0.027 eV/atom below the next structure)


Entry w
Compound: SrTlCdBi
Source: Alexandria via LeMat-Bulk
Functional: PBE-GGA
Structure: relaxed

Summary:
* symmetry: F-43m (216)

abc: 5.7274 5.7274 5.7274
angles: 60.00 60.00 60.00
Fractional positions:
Sr (0.0000, 0.0000, 0.0000)
Tl (0.5000, 0.5000, 0.5000)
Cd (0.2500, 0.2500, 0.2500)
Bi (0.7500, 0.7500, 0.7500)


Entry x
Compound: SrTlCdBi
Source: Alexandria via LeMat-Bulk
Functional: PBE-GGA
Structure: relaxed

Summary:
* symmetry: Pmmm (47)

abc: 4.7762 4.8469 5.3450
angles: 90.00 90.00 90.00
Fractional positions:
Sr (0.0000, 0.0000, 0.0000)
Tl (0.5000, 0.0000, 0.5000)
Cd (0.0000, 0.5000, 0.5000)
Bi (0.5000, 0.5000, 0.0000)


entry x (0.057 eV/atom below the next structure)